The following is a PBE-GGA calculation of a geometry-optimized Rb2LaScO4 structure, from the Alexandria database.

Properties
Energy relative to the elements, uncorrected in eV per atom: -2.51

```
Rb2LaScO4
1.0
-5.8957 1.7164 3.9160
-0.4786 -6.8586 2.4030
6.4182 3.9417 0.6398
Rb La Sc O
4 2 2 8
Cartesian
-2.9479 0.8582 1.9580
0.2612 2.8290 2.2779
-3.1653 -3.1713 6.6389
-3.1871 -2.5710 3.1595
6.1789 0.5124 1.8413
2.9698 -1.4584 1.5214
0.0220 -0.6002 3.4796
0.0000 -0.0001 0.0001
4.7801 -1.0436 3.1279
-1.1339 1.1913 4.0410
1.1777 -2.3918 2.9179
-4.7363 -0.1569 3.8309
1.1856 -0.0268 5.3640
-1.2708 -1.5350 5.1162
1.3147 0.3345 1.8425
-1.1418 -1.1736 1.5946
```



The following is a PBE-GGA calculation of a geometry-optimized RbLaSe2O6 structure, from the Alexandria database.

Properties
Energy relative to the elements, uncorrected in eV per atom: -1.79

```
RbLaSe2O6
1.0
7.0636 -0.3505 0.0525
-1.2127 6.9676 0.0525
-1.6303 -1.8437 7.5452
Rb La Se O
2 2 4 12
Cartesian
-0.2735 5.3158 1.9388
4.4942 -0.5425 5.7114
3.0405 2.3856 1.9388
1.1802 2.3878 5.7114
0.8902 -1.0058 6.1051
4.5128 3.0911 5.3177
3.3305 5.7791 1.5451
-0.2921 1.6822 2.3325
5.5253 2.3890 1.8609
3.3413 -0.0810 2.0166
-1.3046 2.3844 5.7892
0.8794 4.8543 5.6335
0.7666 1.5015 0.9917
3.6395 4.7506 2.8859
3.4541 3.2719 6.6585
0.5812 0.0228 4.7643
0.7770 2.7298 3.2706
2.4217 4.5898 0.6070
3.4437 2.0436 4.3796
1.7990 0.1835 7.0432
```



The following is a PBE-GGA calculation of a geometry-optimized Rb2LaSe2O6 structure, from the Alexandria database.

Properties
Energy relative to the elements, uncorrected in eV per atom: -1.57

```
Rb2LaSe2O6
1.0
-5.0620 1.4334 -3.6364
0.9743 -5.4159 2.1329
-2.7221 4.5342 5.5765
Rb La Se O
2 1 2 6
Cartesian
-3.6002 -0.4864 -0.8040
-3.2096 1.0380 4.8770
-3.8921 2.9838 0.9700
-5.9583 0.1853 2.7432
-0.8515 0.3663 1.3297
-4.9013 0.8208 1.5223
-0.9088 -3.7534 2.6923
-3.2848 3.5642 3.2601
-5.9010 4.3050 1.3806
-3.5251 -3.0126 0.8128
-1.9085 -0.2692 2.5506
```